(1)
First-principles (GGA-PBE) data for a relaxed HfAg crystal, as listed in Alexandria.

Values from the calculation:
N(E_F) = 1.62 states/eV/f.u.
Formation energy from the elements = 0.31 eV per atom
Uncorrected energy = -0.448 Ry/atom

Unit cell a=7.501 b=8.381 c=10.774 alpha=90.00 beta=90.00 gamma=90.00
Atoms (fractional coordinates):
Ag 0.573 0.250 0.250
Ag 0.323 0.000 0.500
Ag 0.823 0.000 0.000
Ag 0.177 0.500 0.500
Ag 0.823 0.500 0.500
Ag 0.677 0.000 0.500
Ag 0.927 0.250 0.250
Ag 0.927 0.750 0.750
Ag 0.427 0.750 0.250
Ag 0.677 0.500 0.000
Ag 0.573 0.750 0.750
Ag 0.177 0.000 0.000
Ag 0.073 0.250 0.750
Ag 0.323 0.500 0.000
Ag 0.073 0.750 0.250
Ag 0.427 0.250 0.750
Hf 0.500 0.687 0.500
Hf 0.000 0.687 0.000
Hf 0.750 0.437 0.750
Hf 0.750 0.937 0.250
Hf 0.250 0.937 0.750
Hf 0.500 0.313 0.500
Hf 0.000 0.813 0.500
Hf 0.750 0.563 0.250
Hf 0.500 0.187 0.000
Hf 0.250 0.063 0.250
Hf 0.500 0.813 0.000
Hf 0.750 0.063 0.750
Hf 0.000 0.187 0.500
Hf 0.250 0.563 0.750
Hf 0.250 0.437 0.250
Hf 0.000 0.313 0.000


(2)
First-principles (GGA-PBE) data for a relaxed SmDy5Ho crystal, as listed in Alexandria.

Values from the calculation:
N(E_F) = 7.85 states/eV/f.u.
Formation energy from the elements = 0.19 eV per atom
Energy relative to the lowest polymorph listed for this composition = 0 meV per atom
Uncorrected energy = -0.325 Ry/atom

Unit cell a=6.745 b=6.745 c=13.614 alpha=61.89 beta=61.89 gamma=59.86
Atoms (fractional coordinates):
Dy 0.839 0.607 0.246
Dy 0.838 0.162 0.250
Dy 0.162 0.838 0.750
Dy 0.345 0.312 0.501
Dy 0.607 0.839 0.746
Dy 0.655 0.688 0.499
Dy 0.393 0.161 0.254
Dy 0.688 0.655 0.999
Dy 0.312 0.345 0.001
Dy 0.161 0.393 0.754
Sm 0.721 0.279 0.750
Sm 0.279 0.721 0.250
Ho 0.000 0.000 0.000
Ho 0.000 0.000 0.500


(3)
First-principles (GGA-PBE) data for a relaxed PrSmThSc crystal, as listed in Alexandria.

Values from the calculation:
N(E_F) = 7.38 states/eV/f.u.
Formation energy from the elements = 0.14 eV per atom
Energy relative to the lowest polymorph listed for this composition = 49 meV per atom
Uncorrected energy = -0.417 Ry/atom

Unit cell a=5.627 b=5.627 c=5.627 alpha=60.00 beta=60.00 gamma=60.00
Atoms (fractional coordinates):
Sc 0.000 0.000 0.000
Pr 0.750 0.750 0.750
Th 0.250 0.250 0.250
Sm 0.500 0.500 0.500


(4)
First-principles (GGA-PBE) data for a relaxed Ti2GeSbP crystal, as listed in Alexandria.

Values from the calculation:
N(E_F) = 8.20 states/eV/f.u.
Uncorrected formation energy = 246 meV per atom
Uncorrected energy = -0.422 Ry/atom

Unit cell a=4.622 b=5.151 c=4.622 alpha=90.00 beta=90.00 gamma=90.00
Atoms (fractional coordinates):
P 0.000 0.000 0.000
Ge 0.500 0.500 0.500
Sb 0.000 0.500 0.000
Ti 0.000 0.000 0.500
Ti 0.500 0.000 0.000